*i*
## Sc3RhBr (GGA-PBE)

Data for an optimized crystal structure of Sc3RhBr.

abc: 4.860 4.860 4.860
angles: 90.00 90.00 90.00
Atoms (fractional coordinates):
Sc (0.000, 0.500, 0.000)
Sc (0.000, 0.000, 0.500)
Sc (0.500, 0.000, 0.000)
Rh (0.500, 0.500, 0.500)
Br (0.000, 0.000, 0.000)

Output
Density: 4.6 g/cm³
Spin magnetization: 0.000 μB per formula unit
Calculated volume: 114.78 Å³/cell
Density of states at the Fermi level: 1.475 states/eV/atom



*ii*
## Sc3RhBr (GGA-PBE)

Data for an optimized crystal structure of Sc3RhBr.

abc: 5.079 5.079 5.079
angles: 90.00 90.00 90.00
Atoms (fractional coordinates):
Sc (0.000, 0.500, 0.000)
Sc (0.000, 0.000, 0.500)
Sc (0.500, 0.000, 0.000)
Rh (0.000, 0.000, 0.000)
Br (0.500, 0.500, 0.500)

Output
Density: 4.0 g/cm³
Spin magnetization: 0.000 μB per formula unit
Calculated volume: 131.04 Å³/cell
Density of states at the Fermi level: 1.183 states/eV/atom



Here are the energies relative to the best structure, in kJ/mol of atoms: *i* 44.4; *ii* 0.0.



*i*
## Rh2SeBr (GGA-PBE)

Data for an optimized crystal structure of Rh2SeBr.

abc: 3.920 3.920 6.335
angles: 73.76 73.76 54.90
Atoms (fractional coordinates):
Br (0.250, 0.250, 0.250)
Rh (0.014, 0.014, 0.932)
Rh (0.486, 0.486, 0.568)
Se (0.750, 0.750, 0.750)

Output
Density: 8.0 g/cm³
Spin magnetization: 0.000 μB per formula unit
Calculated volume: 75.57 Å³/cell
Density of states at the Fermi level: 0.740 states/eV/atom



*ii*
## Rh2SeBr (GGA-PBE)

Data for an optimized crystal structure of Rh2SeBr.

abc: 3.477 3.477 6.279
angles: 90.00 90.00 90.00
Atoms (fractional coordinates):
Br (0.500, 0.500, 0.850)
Rh (0.000, 0.000, 0.005)
Rh (0.500, 0.500, 0.253)
Se (0.000, 0.000, 0.392)

Output
Density: 8.0 g/cm³
Spin magnetization: 0.000 μB per formula unit
Calculated volume: 75.90 Å³/cell
Density of states at the Fermi level: 0.620 states/eV/atom



Here are the energies relative to the best structure, in kJ/mol of atoms: *i* 0.0; *ii* 0.8.



*i*
## Rh2SeBr (GGA-PBE)

Data for an optimized crystal structure of Rh2SeBr.

abc: 3.061 5.732 4.138
angles: 90.00 90.00 90.00
Atoms (fractional coordinates):
Br (0.000, 0.500, 0.500)
Rh (0.000, 0.000, 0.000)
Rh (0.500, 0.500, 0.000)
Se (0.500, 0.000, 0.500)

Output
Density: 8.3 g/cm³
Spin magnetization: 0.000 μB per formula unit
Calculated volume: 72.60 Å³/cell
Density of states at the Fermi level: 1.870 states/eV/atom



*ii*
## Rh2SeBr (GGA-PBE)

Data for an optimized crystal structure of Rh2SeBr.

abc: 3.033 3.033 9.849
angles: 90.00 90.00 121.94
Atoms (fractional coordinates):
Br (0.500, 0.500, 0.801)
Rh (0.000, 0.000, 0.013)
Rh (0.500, 0.500, 0.243)
Se (0.000, 0.000, 0.443)

Output
Density: 7.9 g/cm³
Spin magnetization: 0.000 μB per formula unit
Calculated volume: 76.88 Å³/cell
Density of states at the Fermi level: 1.531 states/eV/atom



Here are the energies relative to the best structure, in kJ/mol of atoms: *i* 10.2; *ii* 0.0.



*i*
## Rh2SeBr (GGA-PBE)

Data for an optimized crystal structure of Rh2SeBr.

abc: 6.172 6.172 6.374
angles: 61.04 61.04 90.00
Atoms (fractional coordinates):
Rh (0.592, 0.125, 0.250)
Rh (0.158, 0.625, 0.250)
Rh (0.375, 0.408, 0.750)
Rh (0.875, 0.842, 0.750)
Se (0.500, 0.500, 0.000)
Se (0.250, 0.750, 0.500)
Br (0.000, 0.000, 0.000)
Br (0.750, 0.250, 0.500)

Output
Density: 6.8 g/cm³
Spin magnetization: 0.000 μB per formula unit
Calculated volume: 177.00 Å³/cell
Density of states at the Fermi level: 1.102 states/eV/atom



*ii*
## Rh2SeBr (GGA-PBE)

Data for an optimized crystal structure of Rh2SeBr.

abc: 3.701 4.651 5.228
angles: 92.38 90.00 90.00
Atoms (fractional coordinates):
Br (0.500, 0.750, 0.750)
Rh (0.000, 0.982, 0.102)
Rh (0.000, 0.518, 0.398)
Se (0.500, 0.250, 0.250)

Output
Density: 6.7 g/cm³
Spin magnetization: 0.000 μB per formula unit
Calculated volume: 89.91 Å³/cell
Density of states at the Fermi level: 0.892 states/eV/atom



*iii*
## Rh2SeBr (GGA-PBE)

Data for an optimized crystal structure of Rh2SeBr.

abc: 7.165 7.165 7.165
angles: 31.38 31.38 31.38
Atoms (fractional coordinates):
Br (0.717, 0.717, 0.717)
Rh (0.992, 0.992, 0.992)
Rh (0.245, 0.245, 0.245)
Se (0.546, 0.546, 0.546)

Output
Density: 6.8 g/cm³
Spin magnetization: 0.000 μB per formula unit
Calculated volume: 88.51 Å³/cell
Density of states at the Fermi level: 0.285 states/eV/atom



Here are the energies relative to the best structure, in kJ/mol of atoms: *i* 18.5; *ii* 23.3; *iii* 0.0.



*i*
## Rh2SeBr (GGA-PBE)

Data for an optimized crystal structure of Rh2SeBr.

abc: 3.200 3.200 6.759
angles: 90.00 90.00 90.00
Atoms (fractional coordinates):
Br (0.500, 0.500, 0.750)
Rh (0.000, 0.000, 0.045)
Rh (0.000, 0.000, 0.455)
Se (0.500, 0.500, 0.250)

Output
Density: 8.7 g/cm³
Spin magnetization: 0.000 μB per formula unit
Calculated volume: 69.22 Å³/cell
Density of states at the Fermi level: 1.499 states/eV/atom



*ii*
## Rh2SeBr (GGA-PBE)

Data for an optimized crystal structure of Rh2SeBr.

abc: 3.199 4.543 4.543
angles: 90.00 90.00 90.00
Atoms (fractional coordinates):
Br (0.500, 0.000, 0.500)
Rh (0.000, 0.000, 0.000)
Rh (0.000, 0.500, 0.500)
Se (0.500, 0.500, 0.000)

Output
Density: 9.2 g/cm³
Spin magnetization: 0.000 μB per formula unit
Calculated volume: 66.04 Å³/cell
Density of states at the Fermi level: 1.440 states/eV/atom



*iii*
## Rh2SeBr (GGA-PBE)

Data for an optimized crystal structure of Rh2SeBr.

abc: 5.334 5.334 5.334
angles: 140.09 96.42 96.96
Atoms (fractional coordinates):
Br (0.250, 0.750, 0.500)
Rh (0.953, 0.953, 0.000)
Rh (0.547, 0.547, 0.000)
Se (0.750, 0.250, 0.500)

Output
Density: 6.6 g/cm³
Spin magnetization: 0.000 μB per formula unit
Calculated volume: 91.49 Å³/cell
Density of states at the Fermi level: 0.652 states/eV/atom



*iv*
## Rh2SeBr (GGA-PBE)

Data for an optimized crystal structure of Rh2SeBr.

abc: 4.612 4.612 4.612
angles: 60.00 60.00 60.00
Atoms (fractional coordinates):
Br (0.500, 0.500, 0.500)
Rh (0.000, 0.000, 0.000)
Rh (0.250, 0.250, 0.250)
Se (0.750, 0.750, 0.750)

Output
Density: 8.7 g/cm³
Spin magnetization: 0.002 μB per formula unit
Calculated volume: 69.36 Å³/cell
Density of states at the Fermi level: 1.379 states/eV/atom



Here are the energies relative to the best structure, in kJ/mol of atoms: *i* 0.0; *ii* 10.5; *iii* 5.3; *iv* 47.9.



*i*
## RhSeBr3 (GGA-PBE)

Data for an optimized crystal structure of RhSeBr3.

abc: 5.341 5.341 5.341
angles: 90.00 90.00 90.00
Atoms (fractional coordinates):
Rh (0.500, 0.500, 0.500)
Se (0.000, 0.000, 0.000)
Br (0.000, 0.500, 0.000)
Br (0.000, 0.000, 0.500)
Br (0.500, 0.000, 0.000)

Output
Density: 4.6 g/cm³
Spin magnetization: 1.809 μB per formula unit
Calculated volume: 152.33 Å³/cell
Density of states at the Fermi level: 2.629 states/eV/atom



*ii*
## RhSeBr3 (GGA-PBE)

Data for an optimized crystal structure of RhSeBr3.

abc: 5.077 5.077 5.077
angles: 90.00 90.00 90.00
Atoms (fractional coordinates):
Rh (0.000, 0.000, 0.000)
Se (0.500, 0.500, 0.500)
Br (0.000, 0.500, 0.000)
Br (0.000, 0.000, 0.500)
Br (0.500, 0.000, 0.000)

Output
Density: 5.4 g/cm³
Spin magnetization: 2.082 μB per formula unit
Calculated volume: 130.83 Å³/cell
Density of states at the Fermi level: 1.145 states/eV/atom



Here are the energies relative to the best structure, in kJ/mol of atoms: *i* 39.4; *ii* 0.0.



*i*
## SrRhSeBr2 (GGA-PBE)

Data for an optimized crystal structure of SrRhSeBr2.

abc: 5.784 5.784 5.994
angles: 90.00 90.00 90.00
Atoms (fractional coordinates):
Sr (0.000, 0.000, 0.000)
Rh (0.500, 0.500, 0.500)
Se (0.000, 0.000, 0.500)
Br (0.000, 0.500, 0.000)
Br (0.500, 0.000, 0.000)

Output
Density: 3.6 g/cm³
Spin magnetization: 1.611 μB per formula unit
Calculated volume: 200.54 Å³/cell
Density of states at the Fermi level: 3.272 states/eV/atom



*ii*
## SrRhSeBr2 (GGA-PBE)

Data for an optimized crystal structure of SrRhSeBr2.

abc: 5.074 5.074 5.110
angles: 90.00 90.00 90.00
Atoms (fractional coordinates):
Sr (0.500, 0.500, 0.500)
Rh (0.000, 0.000, 0.000)
Se (0.000, 0.000, 0.500)
Br (0.000, 0.500, 0.000)
Br (0.500, 0.000, 0.000)

Output
Density: 5.4 g/cm³
Spin magnetization: 0.000 μB per formula unit
Calculated volume: 131.58 Å³/cell
Density of states at the Fermi level: 0.649 states/eV/atom



Here are the energies relative to the best structure, in kJ/mol of atoms: *i* 94.3; *ii* 0.0.



*i*
## TeRhSeBr2 (GGA-PBE)

Data for an optimized crystal structure of TeRhSeBr2.

abc: 5.121 5.786 5.121
angles: 90.00 90.00 90.00
Atoms (fractional coordinates):
Te (0.000, 0.500, 0.000)
Rh (0.500, 0.500, 0.500)
Se (0.000, 0.000, 0.000)
Br (0.000, 0.000, 0.500)
Br (0.500, 0.000, 0.000)

Output
Density: 5.1 g/cm³
Spin magnetization: 1.856 μB per formula unit
Calculated volume: 151.75 Å³/cell
Density of states at the Fermi level: 0.785 states/eV/atom



*ii*
## TeRhSeBr2 (GGA-PBE)

Data for an optimized crystal structure of TeRhSeBr2.

abc: 5.001 5.001 4.986
angles: 90.00 90.00 90.00
Atoms (fractional coordinates):
Te (0.500, 0.500, 0.500)
Rh (0.000, 0.000, 0.000)
Se (0.000, 0.000, 0.500)
Br (0.000, 0.500, 0.000)
Br (0.500, 0.000, 0.000)

Output
Density: 6.2 g/cm³
Spin magnetization: 0.000 μB per formula unit
Calculated volume: 124.71 Å³/cell
Density of states at the Fermi level: 0.829 states/eV/atom



Here are the energies relative to the best structure, in kJ/mol of atoms: *i* 58.4; *ii* 0.0.